No. 1
The following is a meta-GGA SCAN calculation of ReIrRh2 at its PBEsol-relaxed geometry, from Alexandria.

a b c (Å): 4.6487 4.6487 4.6487
angles (deg): 131.44 131.44 71.11
Atoms (fractional coordinates):
Re  0.0000  0.0000  0.0000
Ir  0.7500  0.2500  0.5000
Rh  0.2500  0.7500  0.5000
Rh  0.5000  0.5000  0.0000

Properties
- Volume: 55.27 Å³/cell
- Formation enthalpy at 0 K: -0.100 eV per atom
- Theoretical density: 17.6 g/cm3
- N(E_F): 1.03 states/eV per atom
- Excess energy over the best structure of this formula in the dataset: 30 meV per atom
- Crystal system: tetragonal



No. 2
The following is a meta-GGA SCAN calculation of ReIrRh2 at its PBEsol-relaxed geometry, from Alexandria.

a b c (Å): 2.6872 3.8222 5.3852
angles (deg): 90.00 90.00 90.00
Atoms (fractional coordinates):
Re  0.0000  0.0000  0.0000
Ir  0.5000  0.5000  0.7534
Rh  0.0000  0.0000  0.4988
Rh  0.5000  0.5000  0.2491

Properties
- Volume: 55.31 Å³/cell
- Formation enthalpy at 0 K: -0.130 eV per atom
- Theoretical density: 17.5 g/cm3
- N(E_F): 0.82 states/eV per atom
- Excess energy over the best structure of this formula in the dataset: 0 meV per atom
- Crystal system: orthorhombic



No. 3
The following is a meta-GGA SCAN calculation of ReIrRh2 at its PBEsol-relaxed geometry, from Alexandria.

a b c (Å): 4.6731 4.6731 4.6706
angles (deg): 99.43 99.43 33.41
Atoms (fractional coordinates):
Re  0.0000  0.0000  0.0000
Ir  0.7472  0.7472  0.2442
Rh  0.2520  0.2520  0.7496
Rh  0.4977  0.4977  0.4993

Properties
- Volume: 55.34 Å³/cell
- Formation enthalpy at 0 K: -0.091 eV per atom
- Theoretical density: 17.5 g/cm3
- N(E_F): 1.01 states/eV per atom
- Excess energy over the best structure of this formula in the dataset: 39 meV per atom
- Crystal system: monoclinic